# 1
Material: Dy8Ge3Te4P
Method: DFT, GGA-PBE
State: optimized geometry

a = 8.4229 Å, b = 8.4229 Å, c = 21.2148 Å
α = 90.00°, β = 90.00°, γ = 120.00°
Last column: nearest neighbours and their distance in Å.
Space group R-3m (No. 166, hexagonal axes)
Inequivalent atoms, fractional coordinates:
1 Dy 0.0000 0.0000 0.2404 x6  3 Ge 2.89, 3 Te 3.13
2 Dy 0.0012 0.5006 0.2390 x18  1 P 2.87, 2 Ge 2.88, 3 Te 3.15-3.16
3 Ge 0.0000 0.5000 0.5000 x9  6 Dy 2.88-2.89
4 Te 0.0000 0.0000 0.0000 x3  6 Dy 3.16
5 Te 0.0000 0.5000 0.0000 x9  6 Dy 3.13-3.15
6 P 0.0000 0.0000 0.5000 x3  6 Dy 2.87

Output
**DOS at the Fermi energy**: 10.0 states/eV per cell
**ΔE_f (raw)**: -1.287 eV/atom
**Total energy**: -267.69 eV for the cell shown

---

# 2
Material: Dy8GeTe4P3
Method: DFT, GGA-PBE
State: optimized geometry

a = 8.2964 Å, b = 8.2964 Å, c = 21.1570 Å
α = 90.00°, β = 90.00°, γ = 120.00°
Last column: nearest neighbours and their distance in Å.
Space group R-3m (No. 166, hexagonal axes)
Inequivalent atoms, fractional coordinates:
1 Dy 0.0000 0.0000 0.2369 x6  3 P 2.82, 3 Te 3.15
2 Dy 0.0025 0.5012 0.7619 x18  2 P 2.82, 1 Ge 2.85, 3 Te 3.12-3.14
3 Ge 0.0000 0.0000 0.5000 x3  6 Dy 2.85
4 Te 0.0000 0.0000 0.0000 x3  6 Dy 3.12
5 Te 0.0000 0.5000 0.0000 x9  6 Dy 3.14-3.15
6 P 0.0000 0.5000 0.5000 x9  6 Dy 2.82

Output
**DOS at the Fermi energy**: 14.6 states/eV per cell
**ΔE_f (raw)**: -1.466 eV/atom
**Total energy**: -281.07 eV for the cell shown

---

# 3
Material: Dy8GeTe3P3
Method: DFT, GGA-PBE
State: optimized geometry

a = 8.2155 Å, b = 8.2155 Å, c = 20.9357 Å
α = 90.00°, β = 90.00°, γ = 120.00°
Last column: nearest neighbours and their distance in Å.
Space group R-3m (No. 166, hexagonal axes)
Inequivalent atoms, fractional coordinates:
1 Dy 0.0000 0.0000 0.2365 x6  3 P 2.79, 3 Te 3.12
2 Dy 0.0076 0.5038 0.7604 x18  2 P 2.80, 1 Ge 2.87, 2 Te 3.10
3 Ge 0.0000 0.0000 0.5000 x3  6 Dy 2.87
4 Te 0.0000 0.5000 0.0000 x9  6 Dy 3.10-3.12
5 P 0.0000 0.5000 0.5000 x9  6 Dy 2.79-2.80

Output
**DOS at the Fermi energy**: 21.7 states/eV per cell
**ΔE_f (raw)**: -1.326 eV/atom
**Total energy**: -260.95 eV for the cell shown

---

# 4
Material: DyThGeP
Method: DFT, GGA-PBE
State: optimized geometry

a = 4.1651 Å, b = 4.1651 Å, c = 20.2625 Å
α = 90.00°, β = 90.00°, γ = 120.00°
Last column: nearest neighbours and their distance in Å.
Space group R3m (No. 160, hexagonal axes)
Inequivalent atoms, fractional coordinates:
1 Dy 0.0000 0.0000 0.0000 x3  3 P 2.89, 3 Ge 2.93
2 Th 0.0000 0.0000 0.4958 x3  3 P 2.93, 3 Ge 2.99
3 Ge 0.0000 0.0000 0.2504 x3  3 Dy 2.93, 3 Th 2.99
4 P 0.0000 0.0000 0.7462 x3  3 Dy 2.89, 3 Th 2.93

Output
**Formation enthalpy at 0 K**: -1.162 eV/atom
**DOS at the Fermi energy**: 5.1 states/eV per cell
**Total energy**: -80.09 eV for the cell shown

---

# 5
Material: DyPa5Ge6
Method: DFT, GGA-PBE
State: optimized geometry

a = 7.1671 Å, b = 12.4142 Å, c = 7.1688 Å
α = 90.00°, β = 109.46°, γ = 90.00°
Last column: nearest neighbours and their distance in Å.
Space group C2/m (No. 12)
Inequivalent atoms, fractional coordinates:
1 Dy 0.0000 0.0000 0.0000 x2  6 Ge 2.95
2 Pa 0.0000 0.1662 0.5000 x4  6 Ge 2.91-2.93
3 Pa 0.0000 0.3332 0.0000 x4  6 Ge 2.92-2.93
4 Pa 0.0000 0.5000 0.5000 x2  6 Ge 2.90-2.93
5 Ge 0.2475 0.5000 0.2517 x4  5 Pa 2.90-2.93, 1 Dy 2.95
6 Ge 0.2479 0.3318 0.7485 x8  5 Pa 2.91-2.93, 1 Dy 2.95

Output
**Formation enthalpy at 0 K**: -0.501 eV/atom
**DOS at the Fermi energy**: 27.7 states/eV per cell
**Total energy**: -171.60 eV for the cell shown

---

# 6
Material: DyPa2Ge3
Method: DFT, GGA-PBE
State: optimized geometry

a = 6.1648 Å, b = 15.9073 Å, c = 6.3136 Å
α = 90.00°, β = 120.72°, γ = 90.00°
Last column: nearest neighbours and their distance in Å.
Space group P2_1/c (No. 14)
Inequivalent atoms, fractional coordinates:
1 Dy 0.2462 0.0804 0.1597 x4  8 Ge 2.98-3.24, 2 Pa 3.14-3.17
2 Pa 0.2506 0.7480 0.6634 x4  8 Ge 2.94-3.21, 2 Pa 3.16
3 Pa 0.2515 0.0826 0.6598 x4  8 Ge 2.94-3.24, 2 Dy 3.14-3.17
4 Ge 0.2455 0.5850 0.8797 x4  5 Pa 2.94-3.24, 3 Dy 2.98-3.20, 2 Ge 3.09-3.22
5 Ge 0.2495 0.2487 0.8723 x4  6 Pa 2.97-3.24, 2 Dy 3.03-3.24, 2 Ge 3.16
6 Ge 0.2555 0.5838 0.3740 x4  5 Pa 2.96-3.22, 3 Dy 2.99-3.19, 2 Ge 3.09-3.22

Output
**Formation enthalpy at 0 K**: -0.485 eV/atom
**DOS at the Fermi energy**: 22.4 states/eV per cell
**Total energy**: -161.42 eV for the cell shown

---

# 7
Material: DyPa2Ge
Method: DFT, GGA-PBE
State: optimized geometry

a = 3.1852 Å, b = 3.1852 Å, c = 34.1294 Å
α = 90.00°, β = 90.00°, γ = 120.00°
Last column: nearest neighbours and their distance in Å.
Space group R-3m (No. 166, hexagonal axes)
Inequivalent atoms, fractional coordinates:
1 Dy 0.0000 0.0000 0.0000 x3  6 Dy 3.19, 2 Pa 3.21
2 Pa 0.0000 0.0000 0.0942 x6  3 Ge 3.08, 6 Pa 3.19, 1 Dy 3.21
3 Ge 0.0000 0.0000 0.5000 x3  6 Pa 3.08, 6 Ge 3.19

Output
**Formation enthalpy at 0 K**: 0.165 eV/atom
**DOS at the Fermi energy**: 22.2 states/eV per cell
**Offset from the most stable computed form**: 379 meV/atom
**Total energy**: -82.66 eV for the cell shown

---

# 8
Material: Dy2PaGe
Method: DFT, GGA-PBE
State: optimized geometry

a = 3.3693 Å, b = 3.3693 Å, c = 33.9590 Å
α = 90.00°, β = 90.00°, γ = 120.00°
Last column: nearest neighbours and their distance in Å.
Space group R-3m (No. 166, hexagonal axes)
Inequivalent atoms, fractional coordinates:
1 Dy 0.0000 0.0000 0.0855 x6  1 Ge 2.90
2 Pa 0.0000 0.0000 0.5000 x3  6 Pa 3.37, 6 Dy 3.37
3 Ge 0.0000 0.0000 0.0000 x3  2 Dy 2.90

Output
**Formation enthalpy at 0 K**: 0.198 eV/atom
**DOS at the Fermi energy**: 13.6 states/eV per cell
**Offset from the most stable computed form**: 363 meV/atom
**Total energy**: -67.58 eV for the cell shown

---

# 9
Material: DyPa2Ge
Method: DFT, GGA-PBE
State: optimized geometry

a = 4.3250 Å, b = 4.3250 Å, c = 4.9993 Å
α = 90.00°, β = 90.00°, γ = 90.00°
Last column: nearest neighbours and their distance in Å.
Space group P4/mmm (No. 123)
Inequivalent atoms, fractional coordinates:
1 Dy 0.0000 0.0000 0.0000 x1  4 Ge 3.06, 8 Pa 3.31
2 Pa 0.0000 0.5000 0.5000 x2  4 Pa 3.06, 4 Ge 3.31, 4 Dy 3.31
3 Ge 0.5000 0.5000 0.0000 x1  4 Dy 3.06, 8 Pa 3.31

Output
**Formation enthalpy at 0 K**: -0.214 eV/atom
**DOS at the Fermi energy**: 5.6 states/eV per cell
**Offset from the most stable computed form**: 0 meV/atom
**Total energy**: -29.07 eV for the cell shown

---

# 10
Material: Dy2PaGe
Method: DFT, GGA-PBE
State: optimized geometry

a = 4.6668 Å, b = 4.6668 Å, c = 4.4711 Å
α = 90.00°, β = 90.00°, γ = 90.00°
Last column: nearest neighbours and their distance in Å.
Space group P4/mmm (No. 123)
Inequivalent atoms, fractional coordinates:
1 Dy 0.0000 0.5000 0.0000 x2  4 Ge 3.23, 4 Pa 3.23, 4 Dy 3.30
2 Pa 0.0000 0.0000 0.5000 x1  8 Dy 3.23, 4 Ge 3.30
3 Ge 0.5000 0.5000 0.5000 x1  8 Dy 3.23, 4 Pa 3.30

Output
**Formation enthalpy at 0 K**: -0.165 eV/atom
**DOS at the Fermi energy**: 5.0 states/eV per cell
**Offset from the most stable computed form**: 0 meV/atom
**Total energy**: -23.98 eV for the cell shown

---

# 11
Material: DyPaGePd
Method: DFT, GGA-PBE
State: optimized geometry

a = 7.1027 Å, b = 7.1027 Å, c = 7.1027 Å
α = 90.00°, β = 90.00°, γ = 90.00°
Last column: nearest neighbours and their distance in Å.
Space group F-43m (No. 216)
Inequivalent atoms, fractional coordinates:
1 Dy 0.0000 0.0000 0.0000 x4  4 Ge 3.08, 4 Pd 3.08
2 Pa 0.0000 0.0000 0.5000 x4  4 Ge 3.08, 4 Pd 3.08
3 Ge 0.2500 0.2500 0.7500 x4  4 Dy 3.08, 4 Pa 3.08
4 Pd 0.2500 0.2500 0.2500 x4  4 Dy 3.08, 4 Pa 3.08

Output
**Formation enthalpy at 0 K**: -0.444 eV/atom
**DOS at the Fermi energy**: 31.2 states/eV per cell
**Total energy**: -102.74 eV for the cell shown

---

# 12
Material: DyPaGePt
Method: DFT, GGA-PBE
State: optimized geometry

a = 7.0953 Å, b = 7.0953 Å, c = 7.0953 Å
α = 90.00°, β = 90.00°, γ = 90.00°
Last column: nearest neighbours and their distance in Å.
Space group F-43m (No. 216)
Inequivalent atoms, fractional coordinates:
1 Dy 0.0000 0.0000 0.0000 x4  4 Pt 3.07, 4 Ge 3.07
2 Pa 0.0000 0.0000 0.5000 x4  4 Ge 3.07, 4 Pt 3.07
3 Ge 0.2500 0.2500 0.7500 x4  4 Dy 3.07, 4 Pa 3.07
4 Pt 0.2500 0.2500 0.2500 x4  4 Pa 3.07, 4 Dy 3.07

Output
**Formation enthalpy at 0 K**: -0.614 eV/atom
**DOS at the Fermi energy**: 30.3 states/eV per cell
**Total energy**: -108.84 eV for the cell shown

---

# 13
Material: DyPaGe2Rh5
Method: DFT, GGA-PBE
State: optimized geometry

a = 3.9275 Å, b = 3.9275 Å, c = 12.9399 Å
α = 90.00°, β = 90.00°, γ = 90.00°
Last column: nearest neighbours and their distance in Å.
Space group P4/mmm (No. 123)
Inequivalent atoms, fractional coordinates:
1 Dy 0.0000 0.0000 0.0000 x1  12 Rh 2.78-2.89
2 Pa 0.5000 0.5000 0.5000 x1  2 Ge 2.86
3 Ge 0.5000 0.5000 0.2793 x2  4 Rh 2.47
4 Rh 0.0000 0.5000 0.1637 x4  2 Ge 2.47
5 Rh 0.5000 0.5000 0.0000 x1  4 Dy 2.78, 8 Rh 2.89

Output
**Formation enthalpy at 0 K**: 0.062 eV/atom
**DOS at the Fermi energy**: 14.7 states/eV per cell
**Total energy**: -59.53 eV for the cell shown

---

# 14
Material: DyPaTcGe
Method: DFT, GGA-PBE
State: optimized geometry

a = 6.9979 Å, b = 6.9979 Å, c = 6.9979 Å
α = 90.00°, β = 90.00°, γ = 90.00°
Last column: nearest neighbours and their distance in Å.
Space group F-43m (No. 216)
Inequivalent atoms, fractional coordinates:
1 Dy 0.0000 0.0000 0.0000 x4  4 Ge 3.03, 4 Tc 3.03
2 Pa 0.0000 0.0000 0.5000 x4  4 Tc 3.03, 4 Ge 3.03
3 Tc 0.2500 0.2500 0.7500 x4  4 Dy 3.03, 4 Pa 3.03
4 Ge 0.2500 0.2500 0.2500 x4  4 Dy 3.03, 4 Pa 3.03

Output
**Formation enthalpy at 0 K**: -0.162 eV/atom
**DOS at the Fermi energy**: 21.1 states/eV per cell
**Total energy**: -118.91 eV for the cell shown

---

# 15
Material: DyGe2Pb
Method: DFT, GGA-PBE
State: optimized geometry

a = 4.6940 Å, b = 4.6940 Å, c = 4.2116 Å
α = 90.00°, β = 90.00°, γ = 90.00°
Last column: nearest neighbours and their distance in Å.
Space group P4/mmm (No. 123)
Inequivalent atoms, fractional coordinates:
1 Dy 0.0000 0.0000 0.0000 x1  8 Ge 3.15, 4 Pb 3.32
2 Ge 0.0000 0.5000 0.5000 x2  4 Pb 3.15, 4 Dy 3.15, 4 Ge 3.32
3 Pb 0.5000 0.5000 0.0000 x1  8 Ge 3.15, 4 Dy 3.32

Output
**Formation enthalpy at 0 K**: -0.304 eV/atom
**DOS at the Fermi energy**: 1.8 states/eV per cell
**Total energy**: -18.76 eV for the cell shown

---

# 16
Material: Dy5Ge2Pb2
Method: DFT, GGA-PBE
State: optimized geometry

a = 15.4024 Å, b = 7.9844 Å, c = 7.9355 Å
α = 90.00°, β = 90.00°, γ = 90.00°
Last column: nearest neighbours and their distance in Å.
Space group Cmce (No. 64)
Inequivalent atoms, fractional coordinates:
1 Dy 0.0000 0.0000 0.0000 x4  4 Ge 3.07-3.09, 2 Pb 3.25
2 Dy 0.1258 0.1680 0.3333 x16  3 Ge 2.93-3.12, 3 Pb 3.14-3.24
3 Ge 0.0000 0.1377 0.6382 x8  8 Dy 2.93-3.12, 1 Ge 3.11
4 Pb 0.2113 0.0000 0.0000 x8  7 Dy 3.14-3.25

Output
**Formation enthalpy at 0 K**: -0.703 eV/atom
**DOS at the Fermi energy**: 18.5 states/eV per cell
**Total energy**: -183.96 eV for the cell shown

---

# 17
Material: DyGePb
Method: DFT, GGA-PBE
State: optimized geometry

a = 7.8824 Å, b = 7.8824 Å, c = 5.7315 Å
α = 90.00°, β = 90.00°, γ = 90.00°
Last column: nearest neighbours and their distance in Å.
Space group P4_2/mmc (No. 131)
Inequivalent atoms, fractional coordinates:
1 Dy 0.0000 0.2548 0.0000 x4  4 Ge 2.84-2.87
2 Ge 0.0000 0.2544 0.5000 x4  4 Dy 2.84-2.87, 2 Pb 2.91
3 Pb 0.2751 0.5000 0.5000 x4  2 Ge 2.91

Output
**Formation enthalpy at 0 K**: -0.210 eV/atom
**DOS at the Fermi energy**: 8.3 states/eV per cell
**Total energy**: -54.23 eV for the cell shown

---

# 18
Material: Dy2GePb
Method: DFT, GGA-PBE
State: optimized geometry

a = 4.0482 Å, b = 4.0482 Å, c = 24.1531 Å
α = 90.00°, β = 90.00°, γ = 120.00°
Last column: nearest neighbours and their distance in Å.
Space group R-3m (No. 166, hexagonal axes)
Inequivalent atoms, fractional coordinates:
1 Dy 0.0000 0.0000 0.2346 x6  3 Ge 2.86
2 Ge 0.0000 0.0000 0.5000 x3  6 Dy 2.86
3 Pb 0.0000 0.0000 0.0000 x3  6 Dy 3.34

Output
**Formation enthalpy at 0 K**: -0.568 eV/atom
**DOS at the Fermi energy**: 13.4 states/eV per cell
**Total energy**: -59.41 eV for the cell shown

---

# 19
Material: Dy5Ge2Pb
Method: DFT, GGA-PBE
State: optimized geometry

a = 7.9264 Å, b = 7.9264 Å, c = 13.5504 Å
α = 90.00°, β = 90.00°, γ = 90.00°
Last column: nearest neighbours and their distance in Å.
Space group I4/mcm (No. 140)
Inequivalent atoms, fractional coordinates:
1 Dy 0.0000 0.0000 0.0000 x4  4 Ge 3.03, 2 Pb 3.39
2 Dy 0.1551 0.3449 0.1407 x16  3 Ge 2.91-3.07
3 Ge 0.1483 0.3517 0.5000 x8  8 Dy 2.91-3.07
4 Pb 0.0000 0.0000 0.2500 x4  10 Dy 3.34-3.39

Output
**Formation enthalpy at 0 K**: -0.687 eV/atom
**DOS at the Fermi energy**: 31.4 states/eV per cell
**Total energy**: -165.81 eV for the cell shown

---

# 20
Material: Dy2GePb
Method: DFT, GGA-PBE
State: optimized geometry

a = 3.4238 Å, b = 3.4238 Å, c = 8.6328 Å
α = 90.00°, β = 90.00°, γ = 90.00°
Last column: nearest neighbours and their distance in Å.
Space group P4/mmm (No. 123)
Inequivalent atoms, fractional coordinates:
1 Dy 0.0000 0.0000 0.2201 x2  4 Ge 3.08, 4 Pb 3.42, 4 Dy 3.42
2 Ge 0.5000 0.5000 0.0000 x1  8 Dy 3.08, 4 Ge 3.42
3 Pb 0.5000 0.5000 0.5000 x1  8 Dy 3.42, 4 Pb 3.42

Output
**Formation enthalpy at 0 K**: -0.546 eV/atom
**DOS at the Fermi energy**: 3.7 states/eV per cell
**Total energy**: -19.71 eV for the cell shown